4
Lattice="-2.159 -0.552 -5.728 -2.717 -3.868 -3.928 -3.398 1.203 1.164" Properties=species:S:1:pos:R:3 comment="Li2CdSe, relaxed, DFT GGA-PBE" e_form_raw_ev_per_atom=-0.605 sg="No. 38" energy_ev_per_atom=-2.661 density_g_cm3=4.04 crystal_system=orthorhombic relative_energy_mev_per_atom=92 pbc="T T T"
Li -2.789 -0.921 -2.561
Li -7.715 -3.246 -8.374
Cd -6.370 -2.027 -5.710
Se -3.810 -1.848 -4.586

32
Lattice="-2.388 3.989 2.731 2.220 -2.907 6.188 13.710 8.757 -0.804" Properties=species:S:1:pos:R:3 comment="Tm3Zn3Rh2, relaxed, DFT GGA-PBE" sg="No. 62" ef_mev_per_atom=-626 energy_ev_per_atom=-4.619 density_g_cm3=9.56 crystal_system=orthorhombic pbc="T T T"
Zn 13.871 8.170 4.497
Zn 4.079 1.641 4.938
Zn 7.759 4.266 4.856
Zn 0.044 1.445 7.554
Zn 9.463 8.198 3.177
Zn 13.497 8.394 0.561
Zn 6.156 5.349 7.195
Zn -0.329 1.669 3.618
Zn 7.385 4.490 0.920
Zn 10.076 7.574 6.839
Zn 3.465 2.265 1.276
Zn 5.783 5.573 3.259
Tm 10.843 10.164 1.194
Tm 2.699 -0.325 6.921
Tm 2.619 3.808 3.642
Tm 10.923 6.031 4.473
Tm 3.249 3.156 7.285
Tm 6.599 2.166 6.693
Tm 6.128 2.552 2.867
Tm 6.943 7.673 1.422
Tm 7.414 7.287 5.248
Tm 10.293 6.683 0.830
Tm 11.314 9.778 5.019
Tm 2.228 0.061 3.096
Rh 13.735 5.675 5.094
Rh 10.124 3.369 5.306
Rh 3.417 6.470 2.809
Rh 8.437 5.787 2.872
Rh -0.193 4.164 3.021
Rh 12.047 8.094 2.661
Rh 5.105 4.052 5.243
Rh 1.495 1.745 5.454

15
Lattice="7.958 0.000 0.000 -3.979 6.892 -0.027 0.000 -4.569 6.586" Properties=species:S:1:pos:R:3 comment="Li3Np3TaSe8, relaxed, DFT GGA-PBE" e_form_raw_ev_per_atom=-1.090 sg="No. 166" energy_ev_per_atom=-6.710 density_g_cm3=7.12 crystal_system=trigonal pbc="T T T"
Np -1.989 1.161 3.279
Np 1.989 1.161 3.279
Np 3.979 -2.285 3.293
Ta 0.000 -2.285 3.293
Se 3.979 2.463 1.672
Se 3.979 0.020 5.010
Se 2.128 5.669 1.660
Se 6.107 -3.347 4.899
Se -2.128 5.669 1.660
Se 1.851 -3.347 4.899
Se 0.000 -0.141 4.886
Se 0.000 2.303 1.548
Li 0.000 0.000 0.000
Li 1.989 3.446 -0.014
Li -1.989 3.446 -0.014